Record 1
DFT (PBE) results for a relaxed structure of MgCd2P2.

Cell lengths 4.2716, 4.2716, 12.0295 Å; angles 90.00, 90.00, 90.00 degrees
Space group I4/mmm (No. 139)
Inequivalent atoms, fractional coordinates:
Mg 0.0000 0.0000 0.0000 x2
Cd 0.0000 0.0000 0.3873 x4
P 0.0000 0.5000 0.2500 x4

Calculated values
The polymorph energy (0 for the lowest one) comes out at 257 meV/atom. As for the formation energy: 148 kJ/mol of formula units. For the calculated total energy, the calculation gives -25.4 eV/cell.

=====

Record 2
DFT (PBE) results for a relaxed structure of Mg2CdP.

Cell lengths 6.2001, 8.1315, 3.0643 Å; angles 90.00, 90.00, 90.00 degrees
Space group Cmmm (No. 65)
Inequivalent atoms, fractional coordinates:
Mg 0.2500 0.2500 0.0000 x4
Cd 0.0000 0.0000 0.5000 x2
P 0.0000 0.5000 0.5000 x2

Calculated values
The polymorph energy (0 for the lowest one) comes out at 173 meV/atom. As for the formation energy: -30 kJ/mol of formula units. For the calculated total energy, the calculation gives -19.7 eV/cell.

=====

Record 3
DFT (PBE) results for a relaxed structure of Mg2CdP.

Cell lengths 7.8406, 7.8406, 5.8488 Å; angles 90.00, 90.00, 90.00 degrees
Space group I-42d (No. 122)
Inequivalent atoms, fractional coordinates:
Mg 0.1828 0.2500 0.1250 x8
Cd 0.0000 0.0000 0.5000 x4
P 0.0000 0.0000 0.0000 x4

Calculated values
The polymorph energy (0 for the lowest one) comes out at 197 meV/atom. As for the formation energy: -21 kJ/mol of formula units. For the calculated total energy, the calculation gives -38.9 eV/cell.

=====

Record 4
DFT (PBE) results for a relaxed structure of Mg2CdP.

Cell lengths 4.3776, 4.3776, 8.1766 Å; angles 90.00, 90.00, 90.00 degrees
Space group I4/mmm (No. 139)
Inequivalent atoms, fractional coordinates:
Mg 0.0000 0.5000 0.2500 x4
Cd 0.0000 0.0000 0.0000 x2
P 0.0000 0.0000 0.5000 x2

Calculated values
The polymorph energy (0 for the lowest one) comes out at 208 meV/atom. As for the formation energy: -17 kJ/mol of formula units. For the calculated total energy, the calculation gives -19.4 eV/cell.

=====

Record 5
DFT (PBE) results for a relaxed structure of Mg2CdP.

Cell lengths 4.0053, 4.0053, 9.8101 Å; angles 90.00, 90.00, 90.00 degrees
Space group I-4m2 (No. 119)
Inequivalent atoms, fractional coordinates:
Mg 0.0000 0.0000 0.0000 x2
Mg 0.0000 0.5000 0.2500 x2
Cd 0.0000 0.0000 0.5000 x2
P 0.0000 0.5000 0.7500 x2

Calculated values
The polymorph energy (0 for the lowest one) comes out at 178 meV/atom. As for the formation energy: -29 kJ/mol of formula units. For the calculated total energy, the calculation gives -19.6 eV/cell.

=====

Record 6
DFT (PBE) results for a relaxed structure of Mg2CdP.

Cell lengths 6.8541, 6.8541, 6.8541 Å; angles 90.00, 90.00, 90.00 degrees
Space group Fm-3m (No. 225)
Inequivalent atoms, fractional coordinates:
Mg 0.2500 0.2500 0.2500 x8
Cd 0.0000 0.0000 0.0000 x4
P 0.0000 0.0000 0.5000 x4

Calculated values
The polymorph energy (0 for the lowest one) comes out at 211 meV/atom. As for the formation energy: -16 kJ/mol of formula units. For the calculated total energy, the calculation gives -38.7 eV/cell.

=====

Record 7
DFT (PBE) results for a relaxed structure of MgCd2P2.

Cell lengths 4.0848, 4.0848, 12.7143 Å; angles 90.00, 90.00, 90.00 degrees
Space group I4/mmm (No. 139)
Inequivalent atoms, fractional coordinates:
Mg 0.0000 0.0000 0.0000 x2
Cd 0.0000 0.5000 0.2500 x4
P 0.0000 0.0000 0.3990 x4

Calculated values
The polymorph energy (0 for the lowest one) comes out at 101 meV/atom. As for the formation energy: 73 kJ/mol of formula units. For the calculated total energy, the calculation gives -27.0 eV/cell.

=====

Record 8
DFT (PBE) results for a relaxed structure of Mg2CdP.

Cell lengths 6.9270, 6.9270, 6.9270 Å; angles 90.00, 90.00, 90.00 degrees
Space group F-43m (No. 216)
Inequivalent atoms, fractional coordinates:
Mg 0.0000 0.0000 0.0000 x4
Mg 0.2500 0.2500 0.2500 x4
Cd 0.0000 0.0000 0.5000 x4
P 0.2500 0.2500 0.7500 x4

Calculated values
The polymorph energy (0 for the lowest one) comes out at 408 meV/atom. As for the formation energy: 60 kJ/mol of formula units. For the calculated total energy, the calculation gives -35.6 eV/cell.

=====

Record 9
DFT (PBE) results for a relaxed structure of MgCd2P2.

Cell lengths 7.3288, 7.3288, 3.8024 Å; angles 90.00, 90.00, 90.00 degrees
Space group P4/mbm (No. 127)
Inequivalent atoms, fractional coordinates:
Mg 0.0000 0.0000 0.0000 x2
Cd 0.1383 0.3617 0.5000 x4
P 0.1772 0.6772 0.0000 x4

Calculated values
The polymorph energy (0 for the lowest one) comes out at 0 meV/atom. As for the formation energy: 24 kJ/mol of formula units. For the calculated total energy, the calculation gives -28.0 eV/cell.

=====

Record 10
DFT (PBE) results for a relaxed structure of MgCd2P2Pd5.

Cell lengths 9.8029, 9.8029, 3.4668 Å; angles 90.00, 90.00, 90.00 degrees
Space group P4/mbm (No. 127)
Inequivalent atoms, fractional coordinates:
Mg 0.0000 0.0000 0.0000 x2
Cd 0.1810 0.3190 0.0000 x4
P 0.1286 0.6286 0.0000 x4
Pd 0.0000 0.5000 0.5000 x2
Pd 0.0462 0.7837 0.5000 x8

Calculated values
As for the formation energy: -334 kJ/mol of formula units. For the calculated total energy, the calculation gives -87.3 eV/cell.

=====

Record 11
DFT (PBE) results for a relaxed structure of Mg2CdP2Pd5.

Cell lengths 9.5475, 9.5475, 3.6006 Å; angles 90.00, 90.00, 90.00 degrees
Space group P4/mbm (No. 127)
Inequivalent atoms, fractional coordinates:
Mg 0.1711 0.3289 0.0000 x4
Cd 0.0000 0.0000 0.0000 x2
P 0.1298 0.6298 0.0000 x4
Pd 0.0000 0.5000 0.5000 x2
Pd 0.0737 0.7880 0.5000 x8

Calculated values
As for the formation energy: -494 kJ/mol of formula units. For the calculated total energy, the calculation gives -92.0 eV/cell.

=====

Record 12
DFT (PBE) results for a relaxed structure of RbMgCdP.

Cell lengths 4.3224, 4.3224, 13.6368 Å; angles 90.00, 90.00, 90.00 degrees
Space group P4/nmm (No. 129, origin choice 2)
Inequivalent atoms, fractional coordinates:
Rb 0.2500 0.2500 0.2300 x2
Mg 0.2500 0.7500 0.0000 x2
Cd 0.2500 0.7500 0.5000 x2
P 0.2500 0.2500 0.8929 x2

Calculated values
As for the formation energy: -146 kJ/mol of formula units. For the calculated total energy, the calculation gives -20.8 eV/cell.

=====

Record 13
DFT (PBE) results for a relaxed structure of Mg2CdP2Rh5.

Cell lengths 9.5965, 9.5965, 3.3517 Å; angles 90.00, 90.00, 90.00 degrees
Space group P4/mbm (No. 127)
Inequivalent atoms, fractional coordinates:
Mg 0.1732 0.3268 0.0000 x4
Cd 0.0000 0.0000 0.0000 x2
P 0.1275 0.6275 0.0000 x4
Rh 0.0000 0.5000 0.5000 x2
Rh 0.0735 0.7829 0.5000 x8

Calculated values
As for the formation energy: -611 kJ/mol of formula units. For the calculated total energy, the calculation gives -116.0 eV/cell.

=====

Record 14
DFT (PBE) results for a relaxed structure of Mg2Cd2PRh4.

Cell lengths 5.9956, 5.9956, 8.4089 Å; angles 90.00, 90.00, 90.00 degrees
Space group I4/mmm (No. 139)
Inequivalent atoms, fractional coordinates:
Mg 0.0000 0.0000 0.2032 x4
Cd 0.0000 0.5000 0.2500 x4
P 0.0000 0.0000 0.5000 x2
Rh 0.2426 0.2426 0.0000 x8

Calculated values
As for the formation energy: -319 kJ/mol of formula units. For the calculated total energy, the calculation gives -86.3 eV/cell.

=====

Record 15
DFT (PBE) results for a relaxed structure of MgCdPS2.

Cell lengths 4.7899, 4.7899, 4.8880 Å; angles 90.00, 90.00, 90.00 degrees
Space group P4/mmm (No. 123)
Inequivalent atoms, fractional coordinates:
Mg 0.0000 0.0000 0.0000 x1
Cd 0.5000 0.5000 0.5000 x1
P 0.0000 0.0000 0.5000 x1
S 0.0000 0.5000 0.0000 x2

Calculated values
The calculation puts the formation energy (no corrections) at 0.396 eV per atom. The polymorph energy (0 for the lowest one) comes out at 0 meV/atom. For the calculated total energy, the calculation gives -14.2 eV/cell.

=====

Record 16
DFT (PBE) results for a relaxed structure of MgCd2SbP.

Cell lengths 5.0074, 5.0074, 5.6277 Å; angles 90.00, 90.00, 90.00 degrees
Space group P4/mmm (No. 123)
Inequivalent atoms, fractional coordinates:
Mg 0.0000 0.0000 0.0000 x1
Cd 0.0000 0.5000 0.5000 x2
Sb 0.5000 0.5000 0.0000 x1
P 0.5000 0.5000 0.5000 x1

Calculated values
The calculation puts the formation energy (no corrections) at 0.315 eV per atom. For the calculated total energy, the calculation gives -11.4 eV/cell.

=====

Record 17
DFT (PBE) results for a relaxed structure of MgCd2PW.

Cell lengths 5.3177, 5.3177, 5.2919 Å; angles 90.00, 90.00, 90.00 degrees
Space group P4/mmm (No. 123)
Inequivalent atoms, fractional coordinates:
Mg 0.0000 0.0000 0.0000 x1
Cd 0.0000 0.5000 0.5000 x2
P 0.5000 0.5000 0.0000 x1
W 0.0000 0.0000 0.5000 x1

Calculated values
As for the formation energy: 778 kJ/mol of formula units. For the calculated total energy, the calculation gives -13.7 eV/cell.

=====

Record 18
DFT (PBE) results for a relaxed structure of Mg2PaCd6.

Cell lengths 8.8770, 8.8770, 3.0425 Å; angles 90.00, 90.00, 120.00 degrees
Space group P6/mmm (No. 191)
Inequivalent atoms, fractional coordinates:
Mg 0.3333 0.6667 0.0000 x2
Pa 0.0000 0.0000 0.0000 x1
Cd 0.0000 0.3378 0.5000 x6

Calculated values
As for the formation energy: -9 kJ/mol of formula units. For the calculated total energy, the calculation gives -18.3 eV/cell.

=====

Record 19
DFT (PBE) results for a relaxed structure of Mg2PaCd.

Cell lengths 3.0887, 3.0887, 34.5979 Å; angles 90.00, 90.00, 120.00 degrees
Space group R-3m (No. 166, hexagonal axes)
Inequivalent atoms, fractional coordinates:
Mg 0.0000 0.0000 0.0929 x6
Pa 0.0000 0.0000 0.0000 x3
Cd 0.0000 0.0000 0.5000 x3

Calculated values
The polymorph energy (0 for the lowest one) comes out at 132 meV/atom. As for the formation energy: 83 kJ/mol of formula units. For the calculated total energy, the calculation gives -38.2 eV/cell.

=====

Record 20
DFT (PBE) results for a relaxed structure of Mg2PaCd.

Cell lengths 3.0378, 3.0378, 9.8273 Å; angles 90.00, 90.00, 90.00 degrees
Space group P4/mmm (No. 123)
Inequivalent atoms, fractional coordinates:
Mg 0.0000 0.0000 0.2356 x2
Pa 0.5000 0.5000 0.5000 x1
Cd 0.5000 0.5000 0.0000 x1

Calculated values
The polymorph energy (0 for the lowest one) comes out at 0 meV/atom. As for the formation energy: 32 kJ/mol of formula units. For the calculated total energy, the calculation gives -13.3 eV/cell.

=====

Record 21
DFT (PBE) results for a relaxed structure of MgPaCdPb.

Cell lengths 7.4051, 7.4051, 7.4051 Å; angles 90.00, 90.00, 90.00 degrees
Space group F-43m (No. 216)
Inequivalent atoms, fractional coordinates:
Mg 0.0000 0.0000 0.0000 x4
Pa 0.0000 0.0000 0.5000 x4
Cd 0.2500 0.2500 0.7500 x4
Pb 0.2500 0.2500 0.2500 x4

Calculated values
As for the formation energy: 54 kJ/mol of formula units. For the calculated total energy, the calculation gives -60.6 eV/cell.

=====

Record 22
DFT (PBE) results for a relaxed structure of MgPaCdPd.

Cell lengths 7.0103, 7.0103, 7.0103 Å; angles 90.00, 90.00, 90.00 degrees
Space group F-43m (No. 216)
Inequivalent atoms, fractional coordinates:
Mg 0.0000 0.0000 0.0000 x4
Pa 0.0000 0.0000 0.5000 x4
Cd 0.2500 0.2500 0.7500 x4
Pd 0.2500 0.2500 0.2500 x4

Calculated values
As for the formation energy: -60 kJ/mol of formula units. For the calculated total energy, the calculation gives -71.3 eV/cell.

=====

Record 23
DFT (PBE) results for a relaxed structure of MgPaCdRh.

Cell lengths 6.9385, 6.9385, 6.9385 Å; angles 90.00, 90.00, 90.00 degrees
Space group F-43m (No. 216)
Inequivalent atoms, fractional coordinates:
Mg 0.0000 0.0000 0.0000 x4
Pa 0.0000 0.0000 0.5000 x4
Cd 0.2500 0.2500 0.2500 x4
Rh 0.2500 0.2500 0.7500 x4

Calculated values
As for the formation energy: -56 kJ/mol of formula units. For the calculated total energy, the calculation gives -79.8 eV/cell.

=====

Record 24
DFT (PBE) results for a relaxed structure of MgPaCdSn.

Cell lengths 7.3145, 7.3145, 7.3145 Å; angles 90.00, 90.00, 90.00 degrees
Space group F-43m (No. 216)
Inequivalent atoms, fractional coordinates:
Mg 0.0000 0.0000 0.0000 x4
Pa 0.0000 0.0000 0.5000 x4
Cd 0.2500 0.2500 0.7500 x4
Sn 0.2500 0.2500 0.2500 x4

Calculated values
As for the formation energy: 8 kJ/mol of formula units. For the calculated total energy, the calculation gives -63.7 eV/cell.

=====

Record 25
DFT (PBE) results for a relaxed structure of MgPaTlCd.

Cell lengths 7.3281, 7.3281, 7.3281 Å; angles 90.00, 90.00, 90.00 degrees
Space group F-43m (No. 216)
Inequivalent atoms, fractional coordinates:
Mg 0.0000 0.0000 0.0000 x4
Pa 0.0000 0.0000 0.5000 x4
Tl 0.2500 0.2500 0.7500 x4
Cd 0.2500 0.2500 0.2500 x4

Calculated values
As for the formation energy: 55 kJ/mol of formula units. For the calculated total energy, the calculation gives -55.2 eV/cell.

=====

Record 26
DFT (PBE) results for a relaxed structure of MgCd4Pb.

Cell lengths 3.2349, 4.4092, 10.1324 Å; angles 90.00, 90.00, 90.00 degrees
Space group Pmmm (No. 47)
Inequivalent atoms, fractional coordinates:
Mg 0.0000 0.0000 0.0000 x1
Cd 0.0000 0.0000 0.3079 x2
Cd 0.5000 0.5000 0.1541 x2
Pb 0.5000 0.5000 0.5000 x1

Calculated values
The polymorph energy (0 for the lowest one) comes out at 0 meV/atom. As for the formation energy: -7 kJ/mol of formula units. For the calculated total energy, the calculation gives -9.0 eV/cell.